Density functional theory data (GGA+U) for a relaxed structure of SrTiWO6.

raw total energy: -7.6927 eV/atom
Fermi-level density of states: 0.0 states/eV/cell
mass density: 5.83 g/cm³

a = 4.9551 Å, b = 4.9551 Å, c = 9.6431 Å
α = 90.00°, β = 90.00°, γ = 90.00°
Space group P4_2nm (No. 102)
Inequivalent atoms, fractional coordinates:
Sr 0.0000 0.0000 0.0000 [2 per cell]
Ti 0.0000 0.0000 0.3320 [2 per cell]
W 0.0000 0.0000 0.6644 [2 per cell]
O 0.1656 0.1656 0.4976 [4 per cell]
O 0.2226 0.2226 0.7912 [4 per cell]
O 0.2281 0.2281 0.1958 [4 per cell]